[1]
Computed, not measured: crystalline ZrReSi2Sn at its relaxed geometry at the PBE level of DFT.

Unit cell a=5.019 b=5.019 c=5.514 alpha=90.00 beta=90.00 gamma=90.00
Element x y z (fractional)
1 Re 0.500 0.500 0.500
2 Si 0.000 0.500 0.000
3 Sn 0.000 0.000 0.500
4 Zr 0.000 0.000 0.000
5 Si 0.500 0.000 0.000

[2]
Computed, not measured: crystalline SrReSi at its relaxed geometry at the PBE level of DFT.

Unit cell a=4.151 b=4.151 c=4.741 alpha=90.00 beta=90.00 gamma=120.00
Element x y z (fractional)
1 Si 0.667 0.333 0.167
2 Re 0.000 0.000 0.167
3 Sr 0.333 0.667 0.667

[3]
Computed, not measured: crystalline SrRe2Si at its relaxed geometry at the PBE level of DFT.

Unit cell a=5.284 b=5.761 c=2.707 alpha=78.52 beta=85.52 gamma=116.12
Element x y z (fractional)
1 Sr 0.500 0.500 0.000
2 Re 0.000 0.000 0.000
3 Re 0.500 0.000 0.500
4 Si 0.000 0.500 0.500

[4]
Computed, not measured: crystalline SrReSi2 at its relaxed geometry at the PBE level of DFT.

Unit cell a=5.205 b=5.205 c=8.490 alpha=72.15 beta=72.15 gamma=90.00
Element x y z (fractional)
1 Sr 0.500 0.500 0.000
2 Sr 0.250 0.750 0.500
3 Re 0.000 0.000 0.000
4 Si 0.875 0.125 0.250
5 Re 0.750 0.250 0.500
6 Si 0.875 0.125 0.750
7 Si 0.375 0.125 0.750
8 Si 0.875 0.625 0.250

[5]
Computed, not measured: crystalline SrReSi at its relaxed geometry at the PBE level of DFT.

Unit cell a=4.906 b=4.906 c=4.906 alpha=60.00 beta=60.00 gamma=60.00
Element x y z (fractional)
1 Re 0.000 0.000 0.000
2 Sr 0.750 0.750 0.750
3 Si 0.500 0.500 0.500

[6]
Computed, not measured: crystalline SrRe2Si at its relaxed geometry at the PBE level of DFT.

Unit cell a=4.728 b=2.760 c=5.888 alpha=87.63 beta=90.00 gamma=90.00
Element x y z (fractional)
1 Si 0.500 0.250 0.250
2 Sr 0.500 0.750 0.750
3 Re 0.000 0.141 0.057
4 Re 0.000 0.359 0.443

[7]
Computed, not measured: crystalline SrReSi at its relaxed geometry at the PBE level of DFT.

Unit cell a=4.547 b=4.547 c=4.547 alpha=60.00 beta=60.00 gamma=60.00
Element x y z (fractional)
1 Si 0.750 0.750 0.750
2 Sr 0.000 0.000 0.000
3 Re 0.500 0.500 0.500

[8]
Computed, not measured: crystalline SrReSi4 at its relaxed geometry at the PBE level of DFT.

Unit cell a=5.227 b=5.227 c=5.227 alpha=60.00 beta=60.00 gamma=60.00
Element x y z (fractional)
1 Si 0.371 0.886 0.371
2 Si 0.371 0.371 0.371
3 Re 0.000 0.000 0.000
4 Sr 0.750 0.750 0.750
5 Si 0.886 0.371 0.371
6 Si 0.371 0.371 0.886

[9]
Computed, not measured: crystalline SrReSi2 at its relaxed geometry at the PBE level of DFT.

Unit cell a=5.796 b=5.796 c=5.796 alpha=149.88 beta=117.64 gamma=70.80
Element x y z (fractional)
1 Re 0.750 0.250 0.500
2 Si 0.549 0.549 0.000
3 Si 0.951 0.951 0.000
4 Sr 0.250 0.750 0.500

[10]
Computed, not measured: crystalline SrReSi2 at its relaxed geometry at the PBE level of DFT.

Unit cell a=4.382 b=4.382 c=6.954 alpha=63.92 beta=63.92 gamma=45.00
Element x y z (fractional)
1 Sr 0.537 0.537 0.483
2 Re 0.319 0.319 0.013
3 Si 0.674 0.674 0.861
4 Si 0.970 0.970 0.143

[11]
Computed, not measured: crystalline SrRe2Si at its relaxed geometry at the PBE level of DFT.

Unit cell a=4.002 b=4.002 c=4.529 alpha=90.00 beta=90.00 gamma=90.00
Element x y z (fractional)
1 Re 0.000 0.000 0.000
2 Si 0.500 0.000 0.500
3 Sr 0.000 0.500 0.500
4 Re 0.500 0.500 0.000

[12]
Computed, not measured: crystalline SrReSi at its relaxed geometry at the PBE level of DFT.

Unit cell a=3.657 b=3.657 c=5.908 alpha=90.00 beta=90.00 gamma=120.00
Element x y z (fractional)
1 Sr 0.333 0.667 0.664
2 Si 0.667 0.333 0.263
3 Re 0.000 0.000 0.072

| no. | calculated total energy (eV per atom) | formation energy (no corrections) (eV/atom) |
| --- | --- | --- |
| 1 | -5.464 | 1.705 |
| 2 | -6.370 | 0.148 |
| 3 | -7.033 | 0.968 |
| 4 | -6.313 | -0.069 |
| 5 | -4.510 | 2.008 |
| 6 | -7.256 | 0.744 |
| 7 | -5.674 | 0.844 |
| 8 | -5.359 | 0.611 |
| 9 | -5.970 | 0.274 |
| 10 | -6.347 | -0.103 |
| 11 | -6.915 | 1.085 |
| 12 | -6.047 | 0.471 |